# Hg2BiRu PBE-GGA optimized geometry
data_Hg2BiRu
_chemical_formula_sum 'Hg4 Bi2 Ru2'
_cell_length_a 10.583
_cell_length_b 10.583
_cell_length_c 7.906
_cell_angle_alpha 47.99
_cell_angle_beta 47.99
_cell_angle_gamma 90.00
_symmetry_space_group_name_H-M 'P 1'
_symmetry_Int_Tables_number 1
_symmetry_space_group_name_Hall 'P 1'
loop_
_atom_site_label
_atom_site_fract_x
_atom_site_fract_y
_atom_site_fract_z
Hg1 0.375 0.125 0.250
Bi1 0.750 0.250 0.500
Ru1 0.250 0.750 0.500
Ru2 0.500 0.500 0.000
Hg2 0.375 0.625 0.250
Hg3 0.875 0.625 0.750
Bi2 0.000 0.000 0.000
Hg4 0.375 0.625 0.750
# Energy of formation from the pure elements, kJ/mol of formula units: 153
# Fermi-level density of states, states/eV/atom: 0.576
# Magnetic moment, μB per cell: 0.0
# Space-group type: I4_1/amd
# Uncorrected energy, eV/atom: -3.045

# NpScGaTc PBE-GGA optimized geometry
data_NpScGaTc
_chemical_formula_sum 'Np1 Sc1 Ga1 Tc1'
_cell_length_a 4.778
_cell_length_b 4.778
_cell_length_c 4.778
_cell_angle_alpha 60.00
_cell_angle_beta 60.00
_cell_angle_gamma 60.00
_symmetry_space_group_name_H-M 'P 1'
_symmetry_Int_Tables_number 1
_symmetry_space_group_name_Hall 'P 1'
loop_
_atom_site_label
_atom_site_fract_x
_atom_site_fract_y
_atom_site_fract_z
Tc1 0.750 0.750 0.750
Np1 0.000 0.000 0.000
Ga1 0.250 0.250 0.250
Sc1 0.500 0.500 0.500
# Energy of formation from the pure elements, kJ/mol of formula units: -16
# Fermi-level density of states, states/eV/atom: 1.863
# Magnetic moment, μB per cell: 3.5
# Space-group type: F-43m
# Uncorrected energy, eV/atom: -8.207

# SrY2Ni2 PBE-GGA optimized geometry
data_SrY2Ni2
_chemical_formula_sum 'Sr1 Y2 Ni2'
_cell_length_a 4.692
_cell_length_b 4.692
_cell_length_c 6.602
_cell_angle_alpha 69.18
_cell_angle_beta 69.18
_cell_angle_gamma 90.00
_symmetry_space_group_name_H-M 'P 1'
_symmetry_Int_Tables_number 1
_symmetry_space_group_name_Hall 'P 1'
loop_
_atom_site_label
_atom_site_fract_x
_atom_site_fract_y
_atom_site_fract_z
Sr1 0.000 0.000 0.000
Ni1 0.606 0.606 0.787
Y1 0.250 0.750 0.500
Ni2 0.394 0.394 0.213
Y2 0.750 0.250 0.500
# Energy of formation from the pure elements, kJ/mol of formula units: -63
# Fermi-level density of states, states/eV/atom: 0.748
# Magnetic moment, μB per cell: 0.0
# Space-group type: I4/mmm
# Uncorrected energy, eV/atom: -5.365
# Distance to the lowest polymorph of the same formula, meV/atom: 5

# Tb2PmPb PBE-GGA optimized geometry
data_Tb2PmPb
_chemical_formula_sum 'Tb2 Pm1 Pb1'
_cell_length_a 4.886
_cell_length_b 4.911
_cell_length_c 4.911
_cell_angle_alpha 90.00
_cell_angle_beta 90.00
_cell_angle_gamma 90.00
_symmetry_space_group_name_H-M 'P 1'
_symmetry_Int_Tables_number 1
_symmetry_space_group_name_Hall 'P 1'
loop_
_atom_site_label
_atom_site_fract_x
_atom_site_fract_y
_atom_site_fract_z
Pm1 0.500 0.500 0.500
Tb1 0.000 0.500 0.000
Pb1 0.500 0.000 0.000
Tb2 0.000 0.000 0.500
# Energy of formation from the pure elements, kJ/mol of formula units: -117
# Fermi-level density of states, states/eV/atom: 1.300
# Magnetic moment, μB per cell: 0.0
# Space-group type: P4/mmm
# Uncorrected energy, eV/atom: -4.733
# Distance to the lowest polymorph of the same formula, meV/atom: 0

# Ta3NiBr PBE-GGA optimized geometry
data_Ta3NiBr
_chemical_formula_sum 'Ta3 Ni1 Br1'
_cell_length_a 4.685
_cell_length_b 4.685
_cell_length_c 4.685
_cell_angle_alpha 90.00
_cell_angle_beta 90.00
_cell_angle_gamma 90.00
_symmetry_space_group_name_H-M 'P 1'
_symmetry_Int_Tables_number 1
_symmetry_space_group_name_Hall 'P 1'
loop_
_atom_site_label
_atom_site_fract_x
_atom_site_fract_y
_atom_site_fract_z
Ta1 0.000 0.500 0.000
Ta2 0.500 0.000 0.000
Br1 0.500 0.500 0.500
Ta3 0.000 0.000 0.500
Ni1 0.000 0.000 0.000
# Fermi-level density of states, states/eV/atom: 0.234
# Magnetic moment, μB per cell: 0.0
# Space-group type: Pm-3m
# E_form (uncorrected), eV/atom: 1.14
# Uncorrected energy, eV/atom: -7.460
# Distance to the lowest polymorph of the same formula, meV/atom: 0

# Pm6P2PdSe3 PBE-GGA optimized geometry
data_Pm6P2PdSe3
_chemical_formula_sum 'Pm6 P2 Pd1 Se3'
_cell_length_a 4.143
_cell_length_b 8.427
_cell_length_c 9.369
_cell_angle_alpha 103.26
_cell_angle_beta 102.77
_cell_angle_gamma 90.00
_symmetry_space_group_name_H-M 'P 1'
_symmetry_Int_Tables_number 1
_symmetry_space_group_name_Hall 'P 1'
loop_
_atom_site_label
_atom_site_fract_x
_atom_site_fract_y
_atom_site_fract_z
Pm1 0.668 0.098 0.336
Pm2 0.005 0.248 0.010
Se1 0.500 0.500 0.000
Pm3 0.332 0.902 0.664
P1 0.167 0.334 0.334
Pm4 0.329 0.426 0.658
Se2 0.834 0.167 0.667
Pm5 0.671 0.574 0.342
Pm6 0.995 0.752 0.990
Pd1 0.500 0.000 0.000
P2 0.833 0.666 0.666
Se3 0.166 0.833 0.333
# Fermi-level density of states, states/eV/atom: 0.539
# Magnetic moment, μB per cell: 0.0
# Space-group type: C2/m
# E_form (uncorrected), eV/atom: -1.60
# Uncorrected energy, eV/atom: -6.179

# AcAl3 PBE-GGA optimized geometry
data_AcAl3
_chemical_formula_sum 'Ac1 Al3'
_cell_length_a 4.351
_cell_length_b 4.349
_cell_length_c 5.427
_cell_angle_alpha 90.00
_cell_angle_beta 90.00
_cell_angle_gamma 90.00
_symmetry_space_group_name_H-M 'P 1'
_symmetry_Int_Tables_number 1
_symmetry_space_group_name_Hall 'P 1'
loop_
_atom_site_label
_atom_site_fract_x
_atom_site_fract_y
_atom_site_fract_z
Ac1 0.000 0.500 0.360
Al1 0.500 0.500 0.869
Al2 0.000 0.000 0.869
Al3 0.500 0.000 0.569
# Energy of formation from the pure elements, kJ/mol of formula units: -48
# Fermi-level density of states, states/eV/atom: 0.796
# Magnetic moment, μB per cell: 0.0
# Space-group type: P4mm
# Uncorrected energy, eV/atom: -3.959
# Distance to the lowest polymorph of the same formula, meV/atom: 240

# Cu3AgCl PBE-GGA optimized geometry
data_Cu3AgCl
_chemical_formula_sum 'Cu3 Ag1 Cl1'
_cell_length_a 4.483
_cell_length_b 4.483
_cell_length_c 4.483
_cell_angle_alpha 90.00
_cell_angle_beta 90.00
_cell_angle_gamma 90.00
_symmetry_space_group_name_H-M 'P 1'
_symmetry_Int_Tables_number 1
_symmetry_space_group_name_Hall 'P 1'
loop_
_atom_site_label
_atom_site_fract_x
_atom_site_fract_y
_atom_site_fract_z
Cu1 0.000 0.500 0.000
Cu2 0.500 0.000 0.000
Cl1 0.000 0.000 0.000
Cu3 0.000 0.000 0.500
Ag1 0.500 0.500 0.500
# Fermi-level density of states, states/eV/atom: 0.461
# Magnetic moment, μB per cell: 0.0
# Space-group type: Pm-3m
# E_form (uncorrected), eV/atom: 0.74
# Uncorrected energy, eV/atom: -2.662
# Distance to the lowest polymorph of the same formula, meV/atom: 0

# Ca3Tb2ScTe6 PBE-GGA optimized geometry
data_Ca3Tb2ScTe6
_chemical_formula_sum 'Ca3 Tb2 Sc1 Te6'
_cell_length_a 4.366
_cell_length_b 8.867
_cell_length_c 9.889
_cell_angle_alpha 104.26
_cell_angle_beta 102.75
_cell_angle_gamma 90.00
_symmetry_space_group_name_H-M 'P 1'
_symmetry_Int_Tables_number 1
_symmetry_space_group_name_Hall 'P 1'
loop_
_atom_site_label
_atom_site_fract_x
_atom_site_fract_y
_atom_site_fract_z
Tb1 0.834 0.668 0.668
Te1 0.000 0.764 0.000
Te2 0.667 0.582 0.335
Ca1 0.831 0.166 0.662
Ca2 0.500 0.500 0.000
Te3 0.661 0.082 0.323
Sc1 0.500 0.000 0.000
Tb2 0.166 0.332 0.332
Te4 0.000 0.236 0.000
Te5 0.339 0.918 0.677
Ca3 0.169 0.834 0.338
Te6 0.333 0.418 0.665
# Fermi-level density of states, states/eV/atom: 0.480
# Magnetic moment, μB per cell: 0.0
# Space-group type: C2/m
# E_form (uncorrected), eV/atom: -1.42
# Uncorrected energy, eV/atom: -4.794

# PuHg2Pd PBE-GGA optimized geometry
data_PuHg2Pd
_chemical_formula_sum 'Pu1 Hg2 Pd1'
_cell_length_a 5.085
_cell_length_b 4.270
_cell_length_c 4.270
_cell_angle_alpha 90.00
_cell_angle_beta 90.00
_cell_angle_gamma 90.00
_symmetry_space_group_name_H-M 'P 1'
_symmetry_Int_Tables_number 1
_symmetry_space_group_name_Hall 'P 1'
loop_
_atom_site_label
_atom_site_fract_x
_atom_site_fract_y
_atom_site_fract_z
Pd1 0.500 0.000 0.000
Pu1 0.500 0.500 0.500
Hg1 0.000 0.500 0.000
Hg2 0.000 0.000 0.500
# Energy of formation from the pure elements, kJ/mol of formula units: -45
# Fermi-level density of states, states/eV/atom: 3.463
# Magnetic moment, μB per cell: 5.8
# Space-group type: P4/mmm
# Uncorrected energy, eV/atom: -5.149

- What is the uncorrected energy in the ninth record?
  -4.794 eV/atom